# 1
The following is a DFT calculation (PBE) of IrOsRh4 after structural relaxation.

abc: 5.3606 5.3606 6.6315
angles: 90.00 90.00 90.00
Fractional positions:
Ir 0.0000 0.5000 0.2500
Ir 0.5000 0.0000 0.7500
Os 0.0000 0.0000 0.0000
Os 0.0000 0.0000 0.5000
Rh 0.2253 0.3722 0.9052
Rh 0.2253 0.6278 0.5948
Rh 0.3722 0.2253 0.4052
Rh 0.3722 0.7747 0.0948
Rh 0.6278 0.2253 0.0948
Rh 0.6278 0.7747 0.4052
Rh 0.7747 0.3722 0.5948
Rh 0.7747 0.6278 0.9052

Properties
Its formation energy is 14.85 kcal/mol of atoms. Its symmetry is No. 112. The calculation puts the total energy at -91.26 eV per cell.

# 2
The following is a DFT calculation (PBE) of Ir4OsRh2 after structural relaxation.

abc: 6.5844 6.5844 6.5844
angles: 109.43 109.43 109.56
Fractional positions:
Ir 0.1118 0.1926 0.7436
Ir 0.1181 0.6990 0.7564
Ir 0.3010 0.0574 0.4192
Ir 0.4490 0.3681 0.2564
Ir 0.6319 0.8882 0.0808
Ir 0.6382 0.8819 0.5808
Ir 0.8074 0.5510 0.9192
Ir 0.9426 0.3618 0.2436
Os 0.0000 0.0000 0.0000
Os 0.7500 0.2500 0.5000
Rh 0.2565 0.6250 0.1315
Rh 0.3750 0.5065 0.6315
Rh 0.4935 0.1250 0.8685
Rh 0.8750 0.7435 0.3685

Properties
Its formation energy is 11.84 kcal/mol of atoms. Its symmetry is No. 122. The calculation puts the total energy at -115.56 eV per cell.

For the records above, the corresponding E above lowest polymorph values read 2.63; 2.14 eV per formula unit.